1.
## Nd6Fe2Ag (PBE)

Data for a geometry-optimized Nd6Fe2Ag structure.

Results
The crystal system is orthorhombic.

a = 8.6458 Å, b = 8.6458 Å, c = 8.6458 Å
α = 111.29°, β = 109.20°, γ = 107.93°
Last column: nearest neighbours and their distance in Å.
Positions (direct):
Nd 0.0047 0.2163 0.7884  1 Fe 2.83, 1 Ag 3.05
Nd 0.1846 0.2924 0.4770  2 Fe 2.96
Nd 0.1846 0.7076 0.8922  2 Fe 2.96
Nd 0.3150 0.0220 0.7069  3 Fe 2.91-2.98
Nd 0.3150 0.6081 0.2931  3 Fe 2.91-2.98
Nd 0.4279 0.2163 0.2116  1 Fe 2.83, 1 Ag 3.05
Nd 0.5721 0.7837 0.7884  1 Fe 2.83, 1 Ag 3.05
Nd 0.6850 0.3919 0.7069  3 Fe 2.91-2.98
Nd 0.6850 0.9780 0.2931  3 Fe 2.91-2.98
Nd 0.8154 0.2924 0.1078  2 Fe 2.96
Nd 0.8154 0.7076 0.5230  2 Fe 2.96
Nd 0.9953 0.7837 0.2116  1 Fe 2.83, 1 Ag 3.05
Fe 0.1087 0.6087 0.5000  1 Fe 2.21
Fe 0.3890 0.0000 0.3890  1 Fe 2.22
Fe 0.6110 0.0000 0.6110  1 Fe 2.22
Fe 0.8913 0.3913 0.5000  1 Fe 2.21
Ag 0.0000 0.0000 0.0000  8 Nd 3.05-3.40
Ag 0.5000 0.5000 0.0000  12 Nd 3.42-3.75

=====

2.
## Nd6Fe13Ag (PBE)

Data for a geometry-optimized Nd6Fe13Ag structure.

Results
The crystal system is tetragonal.

a = 12.8899 Å, b = 12.8899 Å, c = 12.8899 Å
α = 143.63°, β = 143.63°, γ = 52.39°
Last column: nearest neighbours and their distance in Å.
Positions (direct):
Nd 0.0224 0.5224 0.1746  3 Fe 2.92-3.08
Nd 0.1055 0.1055 0.0000  12 Fe 3.02-3.25, 1 Ag 3.34
Nd 0.1521 0.9776 0.5000  3 Fe 2.92-3.08
Nd 0.3479 0.8479 0.8254  3 Fe 2.92-3.08
Nd 0.3945 0.3945 0.0000  12 Fe 3.02-3.25, 1 Ag 3.34
Nd 0.4776 0.6521 0.5000  3 Fe 2.92-3.08
Nd 0.5224 0.3479 0.5000  3 Fe 2.92-3.08
Nd 0.6055 0.6055 0.0000  12 Fe 3.02-3.25, 1 Ag 3.34
Nd 0.6521 0.1521 0.1746  3 Fe 2.92-3.08
Nd 0.8479 0.0224 0.5000  3 Fe 2.92-3.08
Nd 0.8945 0.8945 0.0000  12 Fe 3.02-3.25, 1 Ag 3.34
Nd 0.9776 0.4776 0.8254  3 Fe 2.92-3.08
Fe 0.0000 0.5000 0.5000  12 Fe 2.39-2.55
Fe 0.0192 0.2910 0.5000  7 Fe 2.50-2.64
Fe 0.0665 0.2100 0.2765  10 Fe 2.39-2.64
Fe 0.1197 0.6197 0.8576  9 Fe 2.45-2.73
Fe 0.2090 0.4808 0.5000  7 Fe 2.50-2.64
Fe 0.2100 0.9335 0.1435  10 Fe 2.39-2.64
Fe 0.2379 0.7379 0.8576  9 Fe 2.45-2.73
Fe 0.2621 0.1197 0.5000  9 Fe 2.45-2.73
Fe 0.2900 0.4335 0.7235  10 Fe 2.39-2.64
Fe 0.2910 0.7910 0.2718  7 Fe 2.50-2.64
Fe 0.3803 0.2379 0.5000  9 Fe 2.45-2.73
Fe 0.4335 0.7100 0.1435  10 Fe 2.39-2.64
Fe 0.4808 0.9808 0.2718  7 Fe 2.50-2.64
Fe 0.5000 0.0000 0.5000  12 Fe 2.39-2.55
Fe 0.5192 0.0192 0.7282  7 Fe 2.50-2.64
Fe 0.5665 0.2900 0.8565  10 Fe 2.39-2.64
Fe 0.6197 0.7621 0.5000  9 Fe 2.45-2.73
Fe 0.7090 0.2090 0.7282  7 Fe 2.50-2.64
Fe 0.7100 0.5665 0.2765  10 Fe 2.39-2.64
Fe 0.7379 0.8803 0.5000  9 Fe 2.45-2.73
Fe 0.7621 0.2621 0.1424  9 Fe 2.45-2.73
Fe 0.7900 0.0665 0.8565  10 Fe 2.39-2.64
Fe 0.7910 0.5192 0.5000  7 Fe 2.50-2.64
Fe 0.8803 0.3803 0.1424  9 Fe 2.45-2.73
Fe 0.9335 0.7900 0.7235  10 Fe 2.39-2.64
Fe 0.9808 0.7090 0.5000  7 Fe 2.50-2.64
Ag 0.2500 0.2500 0.0000  10 Nd 3.34-3.37
Ag 0.7500 0.7500 0.0000  10 Nd 3.34-3.37

=====

3.
## PmNdFeAg (PBE)

Data for a geometry-optimized PmNdFeAg structure.

Results
The crystal system is cubic.

a = 7.2555 Å, b = 7.2555 Å, c = 7.2555 Å
α = 90.00°, β = 90.00°, γ = 90.00°
Last column: nearest neighbours and their distance in Å.
Positions (direct):
Pm 0.0000 0.0000 0.0000  4 Fe 3.14, 4 Ag 3.14
Pm 0.0000 0.5000 0.5000  4 Fe 3.14, 4 Ag 3.14
Pm 0.5000 0.0000 0.5000  4 Fe 3.14, 4 Ag 3.14
Pm 0.5000 0.5000 0.0000  4 Fe 3.14, 4 Ag 3.14
Nd 0.0000 0.0000 0.5000  4 Ag 3.14, 4 Fe 3.14
Nd 0.0000 0.5000 0.0000  4 Ag 3.14, 4 Fe 3.14
Nd 0.5000 0.0000 0.0000  4 Ag 3.14, 4 Fe 3.14
Nd 0.5000 0.5000 0.5000  4 Ag 3.14, 4 Fe 3.14
Fe 0.2500 0.2500 0.2500  4 Nd 3.14, 4 Pm 3.14
Fe 0.2500 0.7500 0.7500  4 Nd 3.14, 4 Pm 3.14
Fe 0.7500 0.2500 0.7500  4 Nd 3.14, 4 Pm 3.14
Fe 0.7500 0.7500 0.2500  4 Nd 3.14, 4 Pm 3.14
Ag 0.2500 0.2500 0.7500  4 Nd 3.14, 4 Pm 3.14
Ag 0.2500 0.7500 0.2500  4 Nd 3.14, 4 Pm 3.14
Ag 0.7500 0.2500 0.2500  4 Nd 3.14, 4 Pm 3.14
Ag 0.7500 0.7500 0.7500  4 Nd 3.14, 4 Pm 3.14

=====

4.
## Fe2NiAg2 (PBE)

Data for a geometry-optimized Fe2NiAg2 structure.

Results
The crystal system is tetragonal.

a = 3.2649 Å, b = 3.2649 Å, c = 14.4828 Å
α = 90.00°, β = 90.00°, γ = 90.00°
Last column: nearest neighbours and their distance in Å.
Positions (direct):
Fe 0.0000 0.5000 0.2500  4 Fe 2.31
Fe 0.0000 0.5000 0.7500  4 Fe 2.31
Fe 0.5000 0.0000 0.2500  4 Fe 2.31
Fe 0.5000 0.0000 0.7500  4 Fe 2.31
Ni 0.0000 0.0000 0.0000  8 Ag 2.71
Ni 0.5000 0.5000 0.5000  8 Ag 2.71
Ag 0.0000 0.0000 0.4019  4 Ni 2.71, 4 Fe 2.74, 1 Ag 2.84
Ag 0.0000 0.0000 0.5981  4 Ni 2.71, 4 Fe 2.74, 1 Ag 2.84
Ag 0.5000 0.5000 0.0981  4 Ni 2.71, 4 Fe 2.74, 1 Ag 2.84
Ag 0.5000 0.5000 0.9019  4 Ni 2.71, 4 Fe 2.74, 1 Ag 2.84

=====

5.
## FeNi2Ag (PBE)

Data for a geometry-optimized FeNi2Ag structure.

Results
The crystal system is tetragonal.

a = 2.8022 Å, b = 2.8022 Å, c = 6.6382 Å
α = 90.00°, β = 90.00°, γ = 90.00°
Last column: nearest neighbours and their distance in Å.
Positions (direct):
Fe 0.0000 0.0000 0.0000  8 Ni 2.44
Ni 0.5000 0.5000 0.2139  4 Fe 2.44
Ni 0.5000 0.5000 0.7861  4 Fe 2.44
Ag 0.0000 0.0000 0.5000  8 Ni 2.74, 4 Ag 2.80

=====

6.
## Fe3NiAg (PBE)

Data for a geometry-optimized Fe3NiAg structure.

Results
The crystal system is cubic.

a = 4.3514 Å, b = 4.3514 Å, c = 4.3514 Å
α = 90.00°, β = 90.00°, γ = 90.00°
Last column: nearest neighbours and their distance in Å.
Positions (direct):
Fe 0.0000 0.0000 0.5000  2 Ni 2.18
Fe 0.0000 0.5000 0.0000  2 Ni 2.18
Fe 0.5000 0.0000 0.0000  2 Ni 2.18
Ni 0.0000 0.0000 0.0000  6 Fe 2.18
Ag 0.5000 0.5000 0.5000  12 Fe 3.08

=====

7.
## FeNi2Ag (PBE)

Data for a geometry-optimized FeNi2Ag structure.

Results
The crystal system is orthorhombic.

a = 2.6537 Å, b = 3.6345 Å, c = 5.3756 Å
α = 90.00°, β = 90.00°, γ = 90.00°
Last column: nearest neighbours and their distance in Å.
Positions (direct):
Fe 0.0000 0.0000 0.0000  5 Ni 2.35-2.52
Ni 0.0000 0.0000 0.4371  1 Fe 2.35, 4 Ni 2.56
Ni 0.5000 0.5000 0.2093  4 Fe 2.52, 6 Ni 2.56-2.65, 2 Ag 2.68-2.70
Ag 0.5000 0.5000 0.7079  2 Ag 2.65, 6 Ni 2.68-2.70, 4 Fe 2.74

=====

8.
## FeNi2Ag (PBE)

Data for a geometry-optimized FeNi2Ag structure.

Results
The crystal system is cubic.

a = 5.9318 Å, b = 5.9318 Å, c = 5.9318 Å
α = 90.00°, β = 90.00°, γ = 90.00°
Last column: nearest neighbours and their distance in Å.
Positions (direct):
Fe 0.0000 0.0000 0.0000  4 Ni 2.57, 4 Ag 2.57
Fe 0.0000 0.5000 0.5000  4 Ni 2.57, 4 Ag 2.57
Fe 0.5000 0.0000 0.5000  4 Ni 2.57, 4 Ag 2.57
Fe 0.5000 0.5000 0.0000  4 Ni 2.57, 4 Ag 2.57
Ni 0.0000 0.0000 0.5000  4 Ni 2.57, 4 Ag 2.57
Ni 0.0000 0.5000 0.0000  4 Ni 2.57, 4 Ag 2.57
Ni 0.2500 0.2500 0.2500  4 Ni 2.57, 4 Fe 2.57
Ni 0.2500 0.7500 0.7500  4 Fe 2.57, 4 Ni 2.57
Ni 0.5000 0.0000 0.0000  4 Ni 2.57, 4 Ag 2.57
Ni 0.5000 0.5000 0.5000  4 Ni 2.57, 4 Ag 2.57
Ni 0.7500 0.2500 0.7500  4 Fe 2.57, 4 Ni 2.57
Ni 0.7500 0.7500 0.2500  4 Fe 2.57, 4 Ni 2.57
Ag 0.2500 0.2500 0.7500  4 Fe 2.57, 4 Ni 2.57
Ag 0.2500 0.7500 0.2500  4 Fe 2.57, 4 Ni 2.57
Ag 0.7500 0.2500 0.2500  4 Fe 2.57, 4 Ni 2.57
Ag 0.7500 0.7500 0.7500  4 Fe 2.57, 4 Ni 2.57

=====

9.
## FeNi2Ag (PBE)

Data for a geometry-optimized FeNi2Ag structure.

Results
The crystal system is tetragonal.

a = 6.6352 Å, b = 6.6352 Å, c = 5.1633 Å
α = 90.00°, β = 90.00°, γ = 90.00°
Last column: nearest neighbours and their distance in Å.
Positions (direct):
Fe 0.0000 0.0000 0.0000  4 Ni 2.29
Fe 0.0000 0.5000 0.2500  4 Ni 2.29
Fe 0.5000 0.0000 0.7500  4 Ni 2.29
Fe 0.5000 0.5000 0.5000  4 Ni 2.29
Ni 0.2172 0.7500 0.1250  2 Fe 2.29
Ni 0.2500 0.2172 0.8750  2 Fe 2.29
Ni 0.2500 0.2828 0.3750  2 Fe 2.29
Ni 0.2828 0.7500 0.6250  2 Fe 2.29
Ni 0.7172 0.2500 0.6250  2 Fe 2.29
Ni 0.7500 0.7172 0.3750  2 Fe 2.29
Ni 0.7500 0.7828 0.8750  2 Fe 2.29
Ni 0.7828 0.2500 0.1250  2 Fe 2.29
Ag 0.0000 0.0000 0.5000  2 Fe 2.58, 4 Ni 2.59
Ag 0.0000 0.5000 0.7500  2 Fe 2.58, 4 Ni 2.59
Ag 0.5000 0.0000 0.2500  2 Fe 2.58, 4 Ni 2.59
Ag 0.5000 0.5000 0.0000  2 Fe 2.58, 4 Ni 2.59

=====

10.
## FeNi2Ag (PBE)

Data for a geometry-optimized FeNi2Ag structure.

Results
The crystal system is cubic.

a = 5.9211 Å, b = 5.9211 Å, c = 5.9211 Å
α = 90.00°, β = 90.00°, γ = 90.00°
Last column: nearest neighbours and their distance in Å.
Positions (direct):
Fe 0.0000 0.0000 0.0000  8 Ni 2.56
Fe 0.0000 0.5000 0.5000  8 Ni 2.56
Fe 0.5000 0.0000 0.5000  8 Ni 2.56
Fe 0.5000 0.5000 0.0000  8 Ni 2.56
Ni 0.2500 0.2500 0.2500  4 Ag 2.56, 4 Fe 2.56
Ni 0.2500 0.2500 0.7500  4 Fe 2.56, 4 Ag 2.56
Ni 0.2500 0.7500 0.2500  4 Fe 2.56, 4 Ag 2.56
Ni 0.2500 0.7500 0.7500  4 Fe 2.56, 4 Ag 2.56
Ni 0.7500 0.2500 0.2500  4 Fe 2.56, 4 Ag 2.56
Ni 0.7500 0.2500 0.7500  4 Fe 2.56, 4 Ag 2.56
Ni 0.7500 0.7500 0.2500  4 Fe 2.56, 4 Ag 2.56
Ni 0.7500 0.7500 0.7500  4 Fe 2.56, 4 Ag 2.56
Ag 0.0000 0.0000 0.5000  8 Ni 2.56
Ag 0.0000 0.5000 0.0000  8 Ni 2.56
Ag 0.5000 0.0000 0.0000  8 Ni 2.56
Ag 0.5000 0.5000 0.5000  8 Ni 2.56

=====

11.
## FeNi2Ag (PBE)

Data for a geometry-optimized FeNi2Ag structure.

Results
The crystal system is tetragonal.

a = 3.8172 Å, b = 3.8172 Å, c = 3.5574 Å
α = 90.00°, β = 90.00°, γ = 90.00°
Last column: nearest neighbours and their distance in Å.
Positions (direct):
Fe 0.0000 0.0000 0.0000  8 Ni 2.61, 4 Ag 2.70
Ni 0.0000 0.5000 0.5000  4 Fe 2.61, 4 Ag 2.61, 4 Ni 2.70
Ni 0.5000 0.0000 0.5000  4 Fe 2.61, 4 Ag 2.61, 4 Ni 2.70
Ag 0.5000 0.5000 0.0000  8 Ni 2.61, 4 Fe 2.70

=====

12.
## FeNiAg4 (PBE)

Data for a geometry-optimized FeNiAg4 structure.

Results
The crystal system is cubic.

a = 5.3275 Å, b = 5.3275 Å, c = 5.3275 Å
α = 60.00°, β = 60.00°, γ = 60.00°
Last column: nearest neighbours and their distance in Å.
Positions (direct):
Fe 0.0000 0.0000 0.0000  12 Ag 3.12, 4 Ni 3.26
Ni 0.7500 0.7500 0.7500  12 Ag 3.12, 4 Fe 3.26
Ag 0.3751 0.3751 0.3751  6 Ag 2.66-2.67
Ag 0.3751 0.3751 0.8748  6 Ag 2.66-2.67
Ag 0.3751 0.8748 0.3751  6 Ag 2.66-2.67
Ag 0.8748 0.3751 0.3751  6 Ag 2.66-2.67

=====

no.,calculated formation energy (eV per atom)
1,-0.0042
2,-0.0195
3,0.0646
4,0.6122
5,0.1183
6,0.9275
7,0.1921
8,0.3148
9,0.5081
10,0.2244
11,0.2220
12,0.6463